Record 1
First-principles (PBE) data for a relaxed La6Y5Er2 crystal, as listed in Alexandria.

Lattice parameters (Å, degrees): 11.767 21.007 3.658 90.00 90.00 90.00
Space group Pbam (No. 55)
Inequivalent atoms, fractional coordinates:
1 La 0.063 0.080 0.000 [4 per cell]
2 La 0.081 0.366 0.000 [4 per cell]
3 La 0.171 0.637 0.500 [4 per cell]
4 Y 0.000 0.500 0.500 [2 per cell]
5 Y 0.094 0.226 0.500 [4 per cell]
6 Y 0.199 0.941 0.500 [4 per cell]
7 Er 0.164 0.791 0.000 [4 per cell]

Output
Formation enthalpy at 0 K: 1.4 eV per formula unit
Spin magnetization: 0.000 μB per formula unit

***

Record 2
First-principles (PBE) data for a relaxed Th2Zn5Ni4 crystal, as listed in Alexandria.

Lattice parameters (Å, degrees): 5.047 8.997 16.205 90.00 90.00 90.00
Space group Fmmm (No. 69)
Inequivalent atoms, fractional coordinates:
1 Th 0.000 0.000 0.139 [8 per cell]
2 Zn 0.000 0.000 0.500 [4 per cell]
3 Zn 0.250 0.250 0.000 [8 per cell]
4 Zn 0.250 0.250 0.250 [8 per cell]
5 Ni 0.000 0.154 0.371 [16 per cell]

Output
Formation enthalpy at 0 K: -3.9 eV per formula unit
Spin magnetization: 0.000 μB per formula unit

***

Record 3
First-principles (PBE) data for a relaxed Tb5CePt4 crystal, as listed in Alexandria.

Lattice parameters (Å, degrees): 4.148 7.705 17.301 90.00 90.00 90.00
Space group Immm (No. 71)
Inequivalent atoms, fractional coordinates:
1 Tb 0.000 0.000 0.000 [2 per cell]
2 Tb 0.000 0.243 0.335 [8 per cell]
3 Ce 0.000 0.500 0.000 [2 per cell]
4 Pt 0.000 0.253 0.500 [4 per cell]
5 Pt 0.000 0.500 0.207 [4 per cell]

Output
Formation enthalpy at 0 K: -9.6 eV per formula unit
Spin magnetization: 0.614 μB per formula unit

***

Record 4
First-principles (PBE) data for a relaxed Nd2HoThTe5 crystal, as listed in Alexandria.

Lattice parameters (Å, degrees): 5.489 5.489 11.828 90.00 90.00 90.00
Space group P4/mmm (No. 123)
Inequivalent atoms, fractional coordinates:
1 Nd 0.000 0.000 0.155 [2 per cell]
2 Ho 0.500 0.500 0.000 [1 per cell]
3 Th 0.500 0.500 0.500 [1 per cell]
4 Te 0.000 0.000 0.500 [1 per cell]
5 Te 0.000 0.500 0.000 [2 per cell]
6 Te 0.500 0.500 0.252 [2 per cell]

Output
Spin magnetization: 0.366 μB per formula unit
Energy relative to the elements, uncorrected: -0.69 eV per atom

***

Record 5
First-principles (PBE) data for a relaxed SrLi2MgAu5 crystal, as listed in Alexandria.

Lattice parameters (Å, degrees): 4.856 4.856 7.540 90.00 90.00 90.00
Space group P4/mmm (No. 123)
Inequivalent atoms, fractional coordinates:
1 Sr 0.000 0.000 0.000 [1 per cell]
2 Li 0.500 0.500 0.342 [2 per cell]
3 Mg 0.000 0.000 0.500 [1 per cell]
4 Au 0.000 0.500 0.294 [4 per cell]
5 Au 0.500 0.500 0.000 [1 per cell]

Output
Formation enthalpy at 0 K: -4.1 eV per formula unit
Spin magnetization: 0.000 μB per formula unit

***

Record 6
First-principles (PBE) data for a relaxed ReOs3 crystal, as listed in Alexandria.

Lattice parameters (Å, degrees): 5.5199 5.5199 4.3712 90.00 90.00 120.00
Space group P6_3/mmc (No. 194)
Inequivalent atoms, fractional coordinates:
1 Re 0.3333 0.6667 0.2500 [2 per cell]
2 Os 0.1668 0.3336 0.7500 [6 per cell]

Output
Formation enthalpy at 0 K: -0.3 eV per formula unit
Spin magnetization: 0.000 μB per formula unit
Relative energy among the computed polymorphs: 0 meV/atom

***

Record 7
First-principles (PBE) data for a relaxed La3TmSb2 crystal, as listed in Alexandria.

Lattice parameters (Å, degrees): 7.241 14.679 8.219 90.00 90.00 90.00
Space group Ibam (No. 72)
Inequivalent atoms, fractional coordinates:
1 La 0.000 0.000 0.250 [4 per cell]
2 La 0.000 0.293 0.250 [8 per cell]
3 Tm 0.000 0.500 0.000 [4 per cell]
4 Sb 0.181 0.143 0.000 [8 per cell]

Output
Spin magnetization: 0.000 μB per formula unit
Energy relative to the elements, uncorrected: -0.65 eV per atom
Relative energy among the computed polymorphs: 212 meV/atom

***

Record 8
First-principles (PBE) data for a relaxed ZrMn2Ga2 crystal, as listed in Alexandria.

Lattice parameters (Å, degrees): 3.777 3.777 11.155 90.00 90.00 90.00
Space group I4/mmm (No. 139)
Inequivalent atoms, fractional coordinates:
1 Zr 0.000 0.000 0.000 [2 per cell]
2 Mn 0.000 0.500 0.250 [4 per cell]
3 Ga 0.000 0.000 0.391 [4 per cell]

Output
Formation enthalpy at 0 K: -1.0 eV per formula unit
Spin magnetization: 4.325 μB per formula unit
Relative energy among the computed polymorphs: 0 meV/atom

***

Record 9
First-principles (PBE) data for a relaxed Hf6IrOs2 crystal, as listed in Alexandria.

Lattice parameters (Å, degrees): 5.478 7.132 10.738 90.00 120.41 90.00
Space group P2_1/c (No. 14)
Inequivalent atoms, fractional coordinates:
1 Hf 0.080 0.068 0.243 [4 per cell]
2 Hf 0.207 0.721 0.068 [4 per cell]
3 Hf 0.387 0.142 0.051 [4 per cell]
4 Ir 0.500 0.000 0.500 [2 per cell]
5 Os 0.334 0.098 0.721 [4 per cell]

Output
Formation enthalpy at 0 K: -2.8 eV per formula unit
Spin magnetization: 0.000 μB per formula unit

***

Record 10
First-principles (PBE) data for a relaxed CdHgI2O crystal, as listed in Alexandria.

Lattice parameters (Å, degrees): 6.052 6.052 4.113 90.00 90.00 90.00
Space group P4/mmm (No. 123)
Inequivalent atoms, fractional coordinates:
1 Cd 0.000 0.000 0.000 [1 per cell]
2 Hg 0.500 0.500 0.500 [1 per cell]
3 I 0.000 0.500 0.000 [2 per cell]
4 O 0.000 0.000 0.500 [1 per cell]

Output
Spin magnetization: 0.000 μB per formula unit
Energy relative to the elements, uncorrected: 0.01 eV per atom
Relative energy among the computed polymorphs: 0 meV/atom

***

Record 11
First-principles (PBE) data for a relaxed Ni4BAs crystal, as listed in Alexandria.

Lattice parameters (Å, degrees): 6.244 5.069 4.340 90.00 100.15 90.00
Space group P2_1/c (No. 14)
Inequivalent atoms, fractional coordinates:
1 Ni 0.131 0.140 0.408 [4 per cell]
2 Ni 0.294 0.603 0.442 [4 per cell]
3 B 0.000 0.000 0.000 [2 per cell]
4 As 0.500 0.000 0.500 [2 per cell]

Output
Formation enthalpy at 0 K: -0.7 eV per formula unit
Spin magnetization: 0.000 μB per formula unit
Relative energy among the computed polymorphs: 37 meV/atom

***

Record 12
First-principles (PBE) data for a relaxed Na2LiAuF crystal, as listed in Alexandria.

Lattice parameters (Å, degrees): 4.865 4.865 3.880 90.00 90.00 90.00
Space group P4/mmm (No. 123)
Inequivalent atoms, fractional coordinates:
1 Na 0.000 0.500 0.000 [2 per cell]
2 Li 0.000 0.000 0.500 [1 per cell]
3 Au 0.500 0.500 0.500 [1 per cell]
4 F 0.000 0.000 0.000 [1 per cell]

Output
Spin magnetization: 0.000 μB per formula unit
Energy relative to the elements, uncorrected: -1.20 eV per atom